# Cr4TeSe

Cr4TeSe after structural relaxation (PBE-GGA, Alexandria).

Lattice parameters (Å, degrees): 7.0385 7.0385 7.0385 90.00 90.00 90.00
Space group F-43m (No. 216)
Symmetry-distinct sites (fractional):
Cr  0.1225  0.1225  0.3775 [16 per cell]
Te  0.0000  0.0000  0.0000 [4 per cell]
Se  0.2500  0.2500  0.7500 [4 per cell]

Output
DFT total energy (eV/atom): -6.90
Formation energy without anion corrections (eV per atom): 0.62